1) DFT (PBE-GGA) results for a relaxed Ba2CoNiAs crystal.

## Properties
* DOS(E_F): 4.2 states/eV/f.u.
* space group: No. 123

The structure in extended XYZ format:
```
5
Lattice="5.9963 0.0000 0.0000 0.0000 4.3720 0.0000 0.0000 0.0000 5.9963" Properties=species:S:1:pos:R:3 pbc="T T T"
Ni 0.0000 0.0000 0.0000
As 0.0000 2.1860 0.0000
Co 2.9981 2.1860 2.9981
Ba 0.0000 0.0000 2.9981
Ba 2.9981 0.0000 0.0000
```

---

2) DFT (PBE-GGA) results for a relaxed Ba2CoNiAs crystal.

## Properties
* DOS(E_F): 5.7 states/eV/f.u.
* space group: No. 123

The structure in extended XYZ format:
```
5
Lattice="-5.6049 1.4058 -2.4601 1.5373 -0.8416 -3.9834 -1.7625 -5.9994 0.5873" Properties=species:S:1:pos:R:3 pbc="T T T"
Ni -2.9150 -2.7176 -2.9281
As 0.0000 0.0000 0.0000
Co 0.7687 -0.4208 -1.9917
Ba -0.8812 -2.9997 0.2936
Ba -2.8025 0.7029 -1.2301
```

---

Which structure is most stable, and how do the rest compare? From most to least stable: 1), 2).

---

1) DFT (PBE-GGA) results for a relaxed BaCrAs2 crystal.

## Properties
* DOS(E_F): 2.2 states/eV/f.u.
* space group: No. 44

The structure in extended XYZ format:
```
4
Lattice="-2.2768 -6.3209 -3.9372 -0.4290 -7.7467 0.6652 -1.0209 7.2612 2.6212" Properties=species:S:1:pos:R:3 pbc="T T T"
As -0.2320 -1.2063 -0.2806
As -2.3563 -3.2082 -1.5135
Ba -1.2180 -6.3323 -1.4728
Cr -1.2732 -3.0934 0.9802
```

---

2) DFT (PBE-GGA) results for a relaxed BaCrAs2 crystal.

## Properties
* DOS(E_F): 2.6 states/eV/f.u.
* space group: No. 71

The structure in extended XYZ format:
```
4
Lattice="5.4534 -0.2506 -0.1052 -0.0805 5.4585 0.1052 -1.5754 -3.7502 3.6424" Properties=species:S:1:pos:R:3 pbc="T T T"
As 0.4284 0.4152 0.0000
As 2.2581 2.1888 0.0000
Ba 3.2822 -0.6984 1.7686
Cr 0.5153 2.1562 1.8738
```

---

3) DFT (PBE-GGA) results for a relaxed BaCrAs2 crystal.

## Properties
* DOS(E_F): 2.6 states/eV/f.u.
* space group: No. 12

The structure in extended XYZ format:
```
4
Lattice="-2.5799 2.8142 -1.7999 -4.0470 -0.8756 -0.8182 -3.6672 2.8037 5.0574" Properties=species:S:1:pos:R:3 pbc="T T T"
As -6.7838 2.1445 -2.0787
As -4.9901 2.1652 0.6803
Ba -7.7206 3.5567 1.8295
Cr -2.5735 1.1856 0.6098
```

---

Which structure is most stable, and how do the rest compare? From most to least stable: 3), 2), 1).

---

1) DFT (PBE-GGA) results for a relaxed BaCrAs2 crystal.

## Properties
* DOS(E_F): 2.7 states/eV/f.u.
* space group: No. 47

The structure in extended XYZ format:
```
4
Lattice="-2.6682 -1.6993 3.6871 -2.1487 -3.1284 -2.9967 0.9028 -6.0474 -2.1338" Properties=species:S:1:pos:R:3 pbc="T T T"
As 0.0000 0.0000 0.0000
As -2.4084 -2.4138 0.3452
Ba -1.9570 -5.4376 -0.7217
Cr 0.4514 -3.0237 -1.0669
```

---

2) DFT (PBE-GGA) results for a relaxed BaCrAs2 crystal.

## Properties
* DOS(E_F): 2.3 states/eV/f.u.
* space group: No. 119

The structure in extended XYZ format:
```
4
Lattice="-4.8352 3.4809 0.7784 -5.1428 -1.8865 -2.4687 4.2935 -2.3531 3.4829" Properties=species:S:1:pos:R:3 pbc="T T T"
As 0.0000 0.0000 0.0000
As -2.9191 -1.7212 0.0845
Ba -4.9890 0.7972 -0.8451
Cr -2.7653 0.9625 1.7081
```

---

3) DFT (PBE-GGA) results for a relaxed BaCrAs2 crystal.

## Properties
* DOS(E_F): 0.1 states/eV/f.u.
* space group: No. 141

The structure in extended XYZ format:
```
8
Lattice="5.6653 0.0000 0.0000 0.0000 5.6653 0.0000 2.8327 2.8327 7.0525" Properties=species:S:1:pos:R:3 pbc="T T T"
Cr 2.8327 2.8327 0.0000
Cr 2.8327 5.6653 3.5262
As 2.8331 1.4163 1.7631
As 2.8323 4.2490 1.7631
As 4.2490 5.6649 5.2893
As 7.0817 5.6657 5.2893
Ba 0.0000 0.0000 0.0000
Ba 5.6653 2.8327 3.5262
```

---

Which structure is most stable, and how do the rest compare? From most to least stable: 3), 1), 2).

---

1) DFT (PBE-GGA) results for a relaxed BaCrAs2 crystal.

## Properties
* DOS(E_F): 2.0 states/eV/f.u.
* space group: No. 187

The structure in extended XYZ format:
```
4
Lattice="-0.7954 3.1469 -2.6210 -3.3884 -0.1161 -2.4311 -3.5853 3.1314 4.8521" Properties=species:S:1:pos:R:3 pbc="T T T"
As -4.3098 3.2187 -3.5435
As -6.5971 5.2166 -0.4456
Ba -4.0587 3.2073 -0.3103
Cr -0.8718 0.6316 -1.0527
```

---

2) DFT (PBE-GGA) results for a relaxed BaCrAs2 crystal.

## Properties
* DOS(E_F): 1.7 states/eV/f.u.
* space group: No. 99

The structure in extended XYZ format:
```
4
Lattice="3.6500 0.0000 0.0000 0.0000 3.6498 0.0000 0.0000 0.0000 7.8988" Properties=species:S:1:pos:R:3 pbc="T T T"
As 0.0000 0.0000 7.0169
As 1.8250 1.8249 1.7869
Ba 0.0000 0.0000 3.7114
Cr 1.8250 1.8249 7.2320
```

---

Which structure is most stable, and how do the rest compare? From most to least stable: 1), 2).